Record 1
First-principles (PBE-GGA) data for a geometry-optimized BaNdHg3 structure, as listed in Alexandria via LeMat-Bulk.

**DFT formation energy**: -0.46 eV/atom
**SG**: Cmcm, No. 63
**ρ**: 9.38 g/cm³

Structure (CIF):
```
data_BaNdHg3
_cell_length_a 4.036
_cell_length_b 5.085
_cell_length_c 15.375
_cell_angle_alpha 90.00
_cell_angle_beta 97.54
_cell_angle_gamma 90.00
_space_group_name_H-M_alt 'P 1'
_space_group_IT_number 1
loop_
_space_group_symop_operation_xyz
'x,y,z'
loop_
_atom_site_label
_atom_site_fract_x
_atom_site_fract_y
_atom_site_fract_z
Hg1 0.374 0.250 0.747
Hg2 0.313 0.750 0.627
Hg3 0.474 0.250 0.948
Hg4 0.626 0.750 0.253
Hg5 0.526 0.750 0.052
Hg6 0.687 0.250 0.373
Nd1 0.791 0.250 0.582
Nd2 0.209 0.750 0.418
Ba1 0.077 0.250 0.155
Ba2 0.923 0.750 0.845
```

***

Record 2
First-principles (PBE-GGA) data for a geometry-optimized BaNdHg2 structure, as listed in Alexandria via LeMat-Bulk.

**DFT formation energy**: -0.48 eV/atom
**SG**: P4/mmm, No. 123
**ρ**: 8.78 g/cm³

Structure (CIF):
```
data_BaNdHg2
_cell_length_a 3.978
_cell_length_b 3.978
_cell_length_c 8.161
_cell_angle_alpha 90.00
_cell_angle_beta 90.00
_cell_angle_gamma 90.00
_space_group_name_H-M_alt 'P 1'
_space_group_IT_number 1
loop_
_space_group_symop_operation_xyz
'x,y,z'
loop_
_atom_site_label
_atom_site_fract_x
_atom_site_fract_y
_atom_site_fract_z
Nd1 0.500 0.500 0.000
Ba1 0.500 0.500 0.500
Hg1 0.000 0.000 0.787
Hg2 0.000 0.000 0.213
```

***

Question: Number 1 is which compound?
Answer: BaNdHg3

***

Question: Which of these has the lowest ρ?
Answer: BaNdHg2